No. 1
Entry from Alexandria via LeMat-Bulk: a relaxed Mg3TeF crystal (GGA-PBE).

a b c (Å): 4.7366 4.7366 4.7366
angles (deg): 90.00 90.00 90.00
Closest atoms and distances in Å follow each position.
Atoms (fractional coordinates):
Mg 0.0000 0.5000 0.0000  2 F 2.37
Mg 0.5000 0.0000 0.0000  2 F 2.37
Mg 0.0000 0.0000 0.5000  2 F 2.37
Te 0.5000 0.5000 0.5000  12 Mg 3.35
F 0.0000 0.0000 0.0000  6 Mg 2.37

Properties
- E_form (uncorrected) (eV/atom) = -0.82
- ΔE to the lowest computed polymorph (meV per atom) = 0
- final energy (eV per cell) = -13.91
- M_tot (μB per cell) = 0.0
- crystal system = cubic



No. 2
Entry from Alexandria via LeMat-Bulk: a relaxed BeWCl crystal (GGA-PBE).

a b c (Å): 4.2521 4.2521 2.7232
angles (deg): 90.00 90.00 120.00
Closest atoms and distances in Å follow each position.
Atoms (fractional coordinates):
Be 0.0000 0.0000 0.0003  2 Be 2.72, 6 Cl 2.81, 6 W 2.81
Cl 0.6667 0.3333 0.4997  3 W 2.45, 2 Cl 2.72
W 0.3333 0.6667 0.5000  3 Cl 2.45, 2 W 2.72

Properties
- E_form (uncorrected) (eV/atom) = 0.82
- ΔE to the lowest computed polymorph (meV per atom) = 387
- final energy (eV per cell) = -16.07
- M_tot (μB per cell) = 0.0
- crystal system = hexagonal



No. 3
Entry from Alexandria via LeMat-Bulk: a relaxed Er6Cd3Hg crystal (GGA-PBE).

a b c (Å): 5.2609 9.2177 11.5418
angles (deg): 108.45 90.00 90.00
Closest atoms and distances in Å follow each position.
Atoms (fractional coordinates):
Cd 0.2500 0.7736 0.9741  9 Er 3.15-3.50
Cd 0.2500 0.3864 0.7822  8 Er 3.08-3.39, 2 Cd 3.45
Cd 0.7500 0.2264 0.0259  9 Er 3.15-3.50
Cd 0.7500 0.4729 0.6226  8 Er 3.09-3.38, 2 Cd 3.45
Cd 0.2500 0.5271 0.3774  8 Er 3.09-3.38, 2 Cd 3.45
Cd 0.7500 0.6136 0.2178  8 Er 3.08-3.39, 2 Cd 3.45
Er 0.2500 0.1072 0.8750  1 Hg 2.99, 3 Cd 3.08-3.15, 1 Er 3.25
Er 0.7500 0.3414 0.3232  1 Hg 3.03, 5 Cd 3.09-3.28
Er 0.7500 0.8928 0.1250  1 Hg 2.99, 3 Cd 3.08-3.15, 1 Er 3.25
Er 0.7500 0.1544 0.6856  3 Hg 3.18-3.21, 3 Cd 3.24-3.35, 2 Er 3.53
Er 0.7500 0.7514 0.5044  4 Cd 3.15-3.38, 3 Hg 3.20-3.39
Er 0.7500 0.8697 0.8380  7 Er 3.25-3.59, 3 Cd 3.32
Er 0.2500 0.2486 0.4956  4 Cd 3.15-3.38, 3 Hg 3.20-3.39
Er 0.2500 0.4653 0.0897  6 Cd 3.11-3.39, 2 Er 3.44
Er 0.2500 0.1303 0.1620  7 Er 3.25-3.59, 3 Cd 3.32
Er 0.2500 0.6586 0.6768  1 Hg 3.03, 5 Cd 3.09-3.28
Er 0.7500 0.5347 0.9103  6 Cd 3.11-3.39, 2 Er 3.44
Er 0.2500 0.8456 0.3144  3 Hg 3.18-3.21, 3 Cd 3.24-3.35, 2 Er 3.53
Hg 0.2500 0.9480 0.6051  7 Er 2.99-3.21
Hg 0.7500 0.0520 0.3949  7 Er 2.99-3.21

Properties
- final energy (eV per cell) = -65.78
- energy of formation (meV per atom) = -246
- M_tot (μB per cell) = 0.0
- crystal system = monoclinic



No. 4
Entry from Alexandria via LeMat-Bulk: a relaxed CaAsSN2 crystal (GGA-PBE).

a b c (Å): 4.4664 4.4664 5.4918
angles (deg): 90.00 90.00 90.00
Closest atoms and distances in Å follow each position.
Atoms (fractional coordinates):
As 0.5000 0.5000 0.5000  4 S 3.16
S 0.0000 0.0000 0.5000  2 Ca 2.75
N 0.0000 0.5000 0.0000  2 Ca 2.23
N 0.5000 0.0000 0.0000  2 Ca 2.23
Ca 0.0000 0.0000 0.0000  4 N 2.23

Properties
- E_form (uncorrected) (eV/atom) = 1.50
- ΔE to the lowest computed polymorph (meV per atom) = 1194
- final energy (eV per cell) = -19.95
- M_tot (μB per cell) = 3.0
- crystal system = tetragonal



No. 5
Entry from Alexandria via LeMat-Bulk: a relaxed BaCrPt crystal (GGA-PBE).

a b c (Å): 7.8802 4.3056 9.3772
angles (deg): 90.00 90.00 90.00
Closest atoms and distances in Å follow each position.
Atoms (fractional coordinates):
Cr 0.3641 0.2500 0.0456  3 Pt 2.37-2.45
Cr 0.6359 0.7500 0.9544  3 Pt 2.37-2.45
Cr 0.1359 0.7500 0.5456  3 Pt 2.37-2.45
Cr 0.8641 0.2500 0.4544  3 Pt 2.37-2.45
Ba 0.0021 0.2500 0.8078  4 Cr 3.43-3.62, 6 Pt 3.47-3.67
Ba 0.5021 0.2500 0.6922  4 Cr 3.43-3.62, 6 Pt 3.47-3.67
Ba 0.4979 0.7500 0.3078  4 Cr 3.43-3.62, 6 Pt 3.47-3.67
Ba 0.9979 0.7500 0.1922  4 Cr 3.43-3.62, 6 Pt 3.47-3.67
Pt 0.3251 0.7500 0.9441  3 Cr 2.37-2.45
Pt 0.1749 0.2500 0.4441  3 Cr 2.37-2.45
Pt 0.8251 0.7500 0.5559  3 Cr 2.37-2.45
Pt 0.6749 0.2500 0.0559  3 Cr 2.37-2.45

Properties
- ΔE to the lowest computed polymorph (meV per atom) = 374
- final energy (eV per cell) = -67.79
- energy of formation (meV per atom) = 213
- M_tot (μB per cell) = 0.0
- crystal system = orthorhombic



No. 6
Entry from Alexandria via LeMat-Bulk: a relaxed La8NiSn2 crystal (GGA-PBE).

a b c (Å): 5.5230 6.9011 10.1169
angles (deg): 111.01 105.84 90.00
Closest atoms and distances in Å follow each position.
Atoms (fractional coordinates):
La 0.3536 0.0449 0.7071  1 Ni 2.98
La 0.9953 0.2165 0.9905  3 La 3.06-3.30, 2 Ni 3.16
La 0.4133 0.5813 0.8266  1 Ni 2.75
La 0.5867 0.4187 0.1734  1 Ni 2.75
La 0.0047 0.7835 0.0095  3 La 3.06-3.30, 2 Ni 3.16
La 0.2176 0.2846 0.4352  4 Sn 3.37-3.75, 4 La 3.52-3.61
La 0.7824 0.7154 0.5648  4 Sn 3.37-3.75, 4 La 3.52-3.61
La 0.6464 0.9551 0.2929  1 Ni 2.98
Sn 0.1693 0.7057 0.3385  10 La 3.37-3.75
Sn 0.8307 0.2943 0.6615  10 La 3.37-3.75
Ni 0.5000 0.0000 0.0000  4 La 2.75-2.98

Properties
- final energy (eV per cell) = -57.34
- energy of formation (meV per atom) = -376
- M_tot (μB per cell) = 0.0
- crystal system = monoclinic



No. 7
Entry from Alexandria via LeMat-Bulk: a relaxed NaPa4CdN8 crystal (GGA-PBE).

a b c (Å): 7.1469 7.1469 6.8140
angles (deg): 58.37 58.37 60.00
Closest atoms and distances in Å follow each position.
Atoms (fractional coordinates):
Pa 0.5491 0.5491 0.3527  6 N 2.23-2.46
Pa 0.5071 0.9981 0.4968  6 N 2.24-2.33
Pa 0.9981 0.5071 0.4968  6 N 2.24-2.33
Pa 0.9981 0.9981 0.4968  6 N 2.24-2.33
N 0.2993 0.7637 0.6377  3 Pa 2.29-2.46, 1 Cd 2.43
N 0.7494 0.2168 0.2844  3 Pa 2.23-2.29, 1 Na 2.49
N 0.7757 0.7757 0.6729  3 Pa 2.24
N 0.7637 0.2993 0.6377  3 Pa 2.29-2.46, 1 Cd 2.43
N 0.2993 0.2993 0.6377  3 Pa 2.29-2.46, 1 Cd 2.43
N 0.7494 0.7494 0.2844  3 Pa 2.23-2.29, 1 Na 2.49
N 0.2296 0.2296 0.3112  1 Cd 2.16, 3 Pa 2.33
N 0.2168 0.7494 0.2844  3 Pa 2.23-2.29, 1 Na 2.49
Na 0.0021 0.0021 0.9937  3 N 2.49
Cd 0.3624 0.3624 0.9129  1 N 2.16

Properties
- E_form (uncorrected) (eV/atom) = -1.06
- final energy (eV per cell) = -121.66
- M_tot (μB per cell) = 0.0
- crystal system = trigonal



No. 8
Entry from Alexandria via LeMat-Bulk: a relaxed Cd2AgSn crystal (GGA-PBE).

a b c (Å): 4.5820 4.4152 4.4152
angles (deg): 90.00 90.00 90.00
Closest atoms and distances in Å follow each position.
Atoms (fractional coordinates):
Ag 0.5000 0.5000 0.5000  4 Sn 3.12, 8 Cd 3.18
Sn 0.5000 0.0000 0.0000  4 Ag 3.12, 8 Cd 3.18
Cd 0.0000 0.0000 0.5000  4 Cd 3.12, 4 Sn 3.18, 4 Ag 3.18
Cd 0.0000 0.5000 0.0000  4 Cd 3.12, 4 Sn 3.18, 4 Ag 3.18

Properties
- final energy (eV per cell) = -8.51
- energy of formation (meV per atom) = 43
- M_tot (μB per cell) = 0.0
- crystal system = tetragonal